(1)
Entry from Alexandria via LeMat-Bulk: a relaxed Ce3ZnSi2Au6 crystal (PBE-GGA).

The structure belongs to space group P-3m1 (No. 164); the cell edges are 6.3657, 6.3657 and 7.9240 Å and the angles 90.00°, 90.00° and 120.00°. Symmetry generates all atoms from Ce at (0.0000, 0.0000, 0.0000), Ce at (0.3333, 0.6667, 0.6684), Zn at (0.0000, 0.0000, 0.5000), Si at (0.3333, 0.6667, 0.0560) and Au at (0.1790, 0.3580, 0.2901).

The calculation puts the calculated density at 10.3 g/cm3. For the uncorrected formation energy, the calculation gives -0.32 eV/atom. As for the total moment: 3.13 μB/f.u.

---

(2)
Entry from Alexandria via LeMat-Bulk: a relaxed TaCu2RhSe crystal (PBE-GGA).

The structure belongs to space group P4/mmm (No. 123); the cell edges are 4.3652, 4.3652 and 4.6252 Å and the angles 90.00°, 90.00° and 90.00°. Symmetry generates all atoms from Ta at (0.0000, 0.0000, 0.0000), Cu at (0.0000, 0.5000, 0.5000), Rh at (0.5000, 0.5000, 0.0000) and Se at (0.5000, 0.5000, 0.5000).

The calculation puts the calculated density at 9.2 g/cm3. For the uncorrected formation energy, the calculation gives 0.91 eV/atom. As for the total moment: 0.00 μB/f.u.

---

(3)
Entry from Alexandria via LeMat-Bulk: a relaxed AcZrScIr2 crystal (PBE-GGA).

The structure belongs to space group I-4m2 (No. 119); the cell edges are 4.4672, 4.4672 and 11.6978 Å and the angles 90.00°, 90.00° and 90.00°. Symmetry generates all atoms from Ac at (0.0000, 0.0000, 0.0000), Zr at (0.0000, 0.5000, 0.2500), Sc at (0.0000, 0.5000, 0.7500) and Ir at (0.0000, 0.0000, 0.3838).

The calculation puts the calculated density at 10.6 g/cm3. As for the total moment: 0.00 μB/f.u. The formation energy comes out at -788 meV/atom.

---

(4)
Entry from Alexandria via LeMat-Bulk: a relaxed LiZn2Rh crystal (PBE-GGA).

The structure belongs to space group R3m (No. 160, hexagonal axes); the cell edges are 2.7421, 2.7421 and 26.8969 Å and the angles 90.00°, 90.00° and 120.00°. Symmetry generates all atoms from Li at (0.0000, 0.0000, 0.0000), Zn at (0.0000, 0.0000, 0.5110), Zn at (0.0000, 0.0000, 0.7533) and Rh at (0.0000, 0.0000, 0.2552).

As for the energy above the most stable polymorph in this dataset: 0.299 eV per atom. The calculation puts the calculated density at 6.8 g/cm3. As for the total moment: 0.35 μB/f.u. The formation energy comes out at -112 meV/atom.

---

(5)
Entry from Alexandria via LeMat-Bulk: a relaxed TmCuF crystal (PBE-GGA).

The structure belongs to space group P-6m2 (No. 187); the cell edges are 3.9207, 3.9207 and 3.9377 Å and the angles 90.00°, 90.00° and 120.00°. Symmetry generates all atoms from Tm at (0.0000, 0.0000, 0.0000), Cu at (0.3333, 0.6667, 0.5000) and F at (0.6667, 0.3333, 0.0000).

The calculation puts the calculated density at 8.0 g/cm3. For the uncorrected formation energy, the calculation gives -1.46 eV/atom. As for the total moment: 0.00 μB/f.u.